[1]
The following is a PBE with a Hubbard U calculation of an optimized crystal structure of LiV4CuO12, from the Alexandria database.

Cell lengths 6.7096, 6.7096, 5.9232 Å; angles 74.87, 74.87, 83.35 degrees
Last column: magnetic moment on the atom in μB.
Fractional coordinates of all 18 atoms:
O: 0.3590 0.3742 0.1985  0.01
O: 0.6101 0.0738 0.9995  0.02
O: 0.3736 0.9140 0.5284  0.12
Li: 0.9122 0.0878 0.0000  0.00
O: 0.6665 0.6326 0.2974  0.02
O: 0.6258 0.6410 0.8015  0.01
O: 0.0860 0.6264 0.4716  0.12
V: 0.2084 0.3873 0.4917  0.03
Cu: 0.0847 0.9153 0.5000  0.86
O: 0.9692 0.8155 0.8544  0.12
O: 0.0315 0.2015 0.5745  0.14
O: 0.7985 0.9685 0.4255  0.14
V: 0.8018 0.6180 0.9929  0.02
O: 0.3674 0.3335 0.7026  0.02
V: 0.3820 0.1982 0.0071  0.02
O: 0.1845 0.0308 0.1456  0.12
O: 0.9262 0.3899 0.0005  0.02
V: 0.6127 0.7916 0.5083  0.03

Results
- SG: C2 (5)
- Energy relative to the lowest polymorph listed for this composition: 0.000 eV per atom
- Spin magnetization: 1.965 μB/cell
- Density: 3.12 g/cm³

***

[2]
The following is a PBE with a Hubbard U calculation of an optimized crystal structure of Li2V3CuO8, from the Alexandria database.

Cell lengths 5.8756, 5.8756, 9.8174 Å; angles 87.54, 87.54, 119.30 degrees
Last column: magnetic moment on the atom in μB.
Fractional coordinates of all 28 atoms:
O: 0.9958 0.4955 0.3179  -0.06
O: 0.9520 0.4348 0.8362  0.06
O: 0.5275 0.4666 0.8344  0.05
O: 0.7196 0.8649 0.6107  -0.04
Li: 0.0442 0.0170 0.4928  0.00
Li: 0.3222 0.6389 0.8994  0.00
Cu: 0.6647 0.3330 0.9911  0.56
V: 0.1431 0.3520 0.2167  1.07
V: 0.8515 0.1672 0.7086  1.05
O: 0.4955 0.9958 0.8179  -0.06
O: 0.6905 0.3422 0.6022  0.01
O: 0.3259 0.1963 0.1064  0.05
O: 0.8237 0.1661 0.1078  0.02
O: 0.4666 0.5275 0.3344  0.05
O: 0.4348 0.9520 0.3362  0.06
Li: 0.6389 0.3222 0.3994  0.00
O: 0.1963 0.3259 0.6064  0.05
Li: 0.0170 0.0442 0.9928  0.00
Cu: 0.3330 0.6647 0.4911  0.56
V: 0.3520 0.1431 0.7167  1.07
V: 0.8329 0.6534 0.7159  1.04
O: 0.0016 0.9772 0.8138  0.01
O: 0.1661 0.8237 0.6078  0.02
V: 0.1672 0.8515 0.2086  1.05
O: 0.8649 0.7196 0.1107  -0.04
O: 0.9772 0.0016 0.3138  0.01
O: 0.3422 0.6905 0.1022  0.01
V: 0.6534 0.8329 0.2159  1.04

Results
- SG: Cc (9)
- Energy relative to the lowest polymorph listed for this composition: 0.043 eV per atom
- Spin magnetization: 7.943 μB/cell
- Density: 4.04 g/cm³

***

[3]
The following is a PBE with a Hubbard U calculation of an optimized crystal structure of Li3Cu2W4O16, from the Alexandria database.

Cell lengths 5.9069, 6.8782, 8.1758 Å; angles 70.56, 77.58, 70.97 degrees
Last column: magnetic moment on the atom in μB.
Fractional coordinates of all 25 atoms:
W: 0.4759 0.5480 0.7969  0.03
O: 0.8300 0.9138 0.9119  0.03
W: 0.0246 0.9521 0.6976  0.03
Li: 0.0626 0.3452 0.8729  0.00
O: 0.1643 0.0923 0.0863  0.03
O: 0.1407 0.6379 0.7231  0.00
O: 0.6509 0.1439 0.2125  0.00
Li: 0.9336 0.6571 0.1313  0.00
O: 0.6738 0.5765 0.5923  0.04
O: 0.7766 0.0162 0.5578  0.00
Cu: 0.4998 0.0047 0.0055  0.25
O: 0.3555 0.8606 0.7757  0.00
Cu: 0.0021 0.4955 0.4986  0.35
Li: 0.4362 0.1453 0.6255  0.00
O: 0.4541 0.2656 0.8242  0.03
W: 0.9690 0.0419 0.2989  0.03
O: 0.5383 0.7351 0.1686  0.03
O: 0.2021 0.9931 0.4457  0.00
O: 0.3378 0.4045 0.4162  0.03
O: 0.2854 0.5166 0.0573  0.00
O: 0.9796 0.7597 0.3221  0.04
O: 0.7177 0.4825 0.9411  0.00
O: 0.8542 0.3649 0.2790  0.00
W: 0.5277 0.4556 0.2027  0.03
O: 0.0409 0.2312 0.6802  0.04

Results
- SG: P1 (1)
- Spin magnetization: 1.030 μB/cell
- Density: 6.43 g/cm³
- Total DFT energy (no corrections): -165.42 eV for the cell shown

***

[4]
The following is a PBE with a Hubbard U calculation of an optimized crystal structure of LiCu2WO, from the Alexandria database.

Cell lengths 4.2983, 4.0027, 4.2983 Å; angles 90.00, 90.00, 90.00 degrees
Last column: magnetic moment on the atom in μB.
Fractional coordinates of all 5 atoms:
Cu: 0.5000 0.0000 0.0000  -0.07
Cu: 0.0000 0.0000 0.5000  0.01
O: 0.0000 0.0000 0.0000  -0.12
W: 0.0000 0.5000 0.0000  2.39
Li: 0.5000 0.5000 0.5000  -0.04

Results
- SG: P4/mmm (123)
- Spin magnetization: 2.213 μB/cell
- Density: 7.50 g/cm³
- Total DFT energy (no corrections): -21.05 eV for the cell shown